# ZrNi2W2 (PBE, optimized geometry)
data_ZrNi2W2
_chemical_formula_sum 'Zr2 Ni4 W4'
_symmetry_space_group_name_H-M 'P 1'
_symmetry_Int_Tables_number 1
_cell_length_a 7.5104
_cell_length_b 7.5104
_cell_length_c 2.6843
_cell_angle_alpha 90.00
_cell_angle_beta 90.00
_cell_angle_gamma 90.00
loop_
_symmetry_equiv_pos_as_xyz
'x,y,z'
loop_
_atom_site_label
_atom_site_type_symbol
_atom_site_fract_x
_atom_site_fract_y
_atom_site_fract_z
Ni1 Ni 0.8807 0.6193 0.0000
Ni2 Ni 0.1193 0.3807 0.0000
Ni3 Ni 0.3807 0.8807 0.0000
Ni4 Ni 0.6193 0.1193 0.0000
W1 W 0.6737 0.8263 0.5000
W2 W 0.1737 0.6737 0.5000
W3 W 0.3263 0.1737 0.5000
W4 W 0.8263 0.3263 0.5000
Zr1 Zr 0.5000 0.5000 0.0000
Zr2 Zr 0.0000 0.0000 0.0000
# ΔE to the lowest computed polymorph	38	meV per atom
# total magnetic moment	0.00	μB/f.u.
# formation energy from the elements	101.5	meV per atom
# space group	P4/mbm

# FeH3Pb (PBE, optimized geometry)
data_FeH3Pb
_chemical_formula_sum 'Fe1 H3 Pb1'
_symmetry_space_group_name_H-M 'P 1'
_symmetry_Int_Tables_number 1
_cell_length_a 4.1675
_cell_length_b 4.1675
_cell_length_c 4.1675
_cell_angle_alpha 90.00
_cell_angle_beta 90.00
_cell_angle_gamma 90.00
loop_
_symmetry_equiv_pos_as_xyz
'x,y,z'
loop_
_atom_site_label
_atom_site_type_symbol
_atom_site_fract_x
_atom_site_fract_y
_atom_site_fract_z
H1 H 0.0000 0.5000 0.0000
H2 H 0.5000 0.0000 0.0000
H3 H 0.0000 0.0000 0.5000
Fe1 Fe 0.5000 0.5000 0.5000
Pb1 Pb 0.0000 0.0000 0.0000
# ΔE to the lowest computed polymorph	828	meV per atom
# total magnetic moment	3.78	μB/f.u.
# space group	Pm-3m

# Pm3NdGe2 (PBE, optimized geometry)
data_Pm3NdGe2
_chemical_formula_sum 'Pm3 Nd1 Ge2'
_symmetry_space_group_name_H-M 'P 1'
_symmetry_Int_Tables_number 1
_cell_length_a 4.4821
_cell_length_b 4.4821
_cell_length_c 8.3748
_cell_angle_alpha 90.00
_cell_angle_beta 90.00
_cell_angle_gamma 90.00
loop_
_symmetry_equiv_pos_as_xyz
'x,y,z'
loop_
_atom_site_label
_atom_site_type_symbol
_atom_site_fract_x
_atom_site_fract_y
_atom_site_fract_z
Nd1 Nd 0.5000 0.5000 0.0000
Pm1 Pm 0.0000 0.5000 0.6414
Pm2 Pm 0.5000 0.0000 0.3586
Pm3 Pm 0.0000 0.0000 0.0000
Ge1 Ge 0.5000 0.0000 0.7215
Ge2 Ge 0.0000 0.5000 0.2785
# ΔE to the lowest computed polymorph	4	meV per atom
# total magnetic moment	0.00	μB/f.u.
# formation energy from the elements	-567.2	meV per atom
# space group	P-4m2

# Ho2ZnGa (PBE, optimized geometry)
data_Ho2ZnGa
_chemical_formula_sum 'Ho2 Zn1 Ga1'
_symmetry_space_group_name_H-M 'P 1'
_symmetry_Int_Tables_number 1
_cell_length_a 5.0250
_cell_length_b 5.0250
_cell_length_c 5.0250
_cell_angle_alpha 60.00
_cell_angle_beta 60.00
_cell_angle_gamma 60.00
loop_
_symmetry_equiv_pos_as_xyz
'x,y,z'
loop_
_atom_site_label
_atom_site_type_symbol
_atom_site_fract_x
_atom_site_fract_y
_atom_site_fract_z
Ho1 Ho 0.5000 0.5000 0.5000
Ho2 Ho 0.0000 0.0000 0.0000
Ga1 Ga 0.2500 0.2500 0.2500
Zn1 Zn 0.7500 0.7500 0.7500
# total magnetic moment	0.00	μB/f.u.
# formation energy from the elements	-481.8	meV per atom
# space group	Fm-3m

# Y6HoNi3 (PBE, optimized geometry)
data_Y6HoNi3
_chemical_formula_sum 'Y12 Ho2 Ni6'
_symmetry_space_group_name_H-M 'P 1'
_symmetry_Int_Tables_number 1
_cell_length_a 7.0792
_cell_length_b 8.5449
_cell_length_c 8.5449
_cell_angle_alpha 99.97
_cell_angle_beta 90.00
_cell_angle_gamma 90.00
loop_
_symmetry_equiv_pos_as_xyz
'x,y,z'
loop_
_atom_site_label
_atom_site_type_symbol
_atom_site_fract_x
_atom_site_fract_y
_atom_site_fract_z
Ni1 Ni 0.4541 0.9108 0.6990
Ni2 Ni 0.3782 0.4160 0.5840
Ni3 Ni 0.9541 0.0892 0.3010
Ni4 Ni 0.9541 0.6990 0.9108
Ni5 Ni 0.8782 0.5840 0.4160
Ni6 Ni 0.4541 0.3010 0.0892
Y1 Y 0.8198 0.4193 0.0337
Y2 Y 0.0078 0.7748 0.2252
Y3 Y 0.8198 0.9663 0.5807
Y4 Y 0.6720 0.6303 0.7038
Y5 Y 0.1720 0.7038 0.6303
Y6 Y 0.6720 0.2962 0.3697
Y7 Y 0.5078 0.2252 0.7748
Y8 Y 0.3198 0.0337 0.4193
Y9 Y 0.1720 0.3697 0.2962
Y10 Y 0.3198 0.5807 0.9663
Y11 Y 0.6583 0.9666 0.0334
Y12 Y 0.1583 0.0334 0.9666
Ho1 Ho 0.5494 0.6781 0.3219
Ho2 Ho 0.0494 0.3219 0.6781
# total magnetic moment	0.00	μB/f.u.
# formation energy from the elements	-222.0	meV per atom
# space group	Cmc2_1

# DyErTiCd (PBE, optimized geometry)
data_DyErTiCd
_chemical_formula_sum 'Dy1 Er1 Ti1 Cd1'
_symmetry_space_group_name_H-M 'P 1'
_symmetry_Int_Tables_number 1
_cell_length_a 5.2080
_cell_length_b 5.2080
_cell_length_c 5.2080
_cell_angle_alpha 60.00
_cell_angle_beta 60.00
_cell_angle_gamma 60.00
loop_
_symmetry_equiv_pos_as_xyz
'x,y,z'
loop_
_atom_site_label
_atom_site_type_symbol
_atom_site_fract_x
_atom_site_fract_y
_atom_site_fract_z
Ti1 Ti 0.7500 0.7500 0.7500
Dy1 Dy 0.0000 0.0000 0.0000
Er1 Er 0.5000 0.5000 0.5000
Cd1 Cd 0.2500 0.2500 0.2500
# total magnetic moment	2.52	μB/f.u.
# formation energy from the elements	41.6	meV per atom
# space group	F-43m

# EuTcSn2 (PBE, optimized geometry)
data_EuTcSn2
_chemical_formula_sum 'Eu1 Tc1 Sn2'
_symmetry_space_group_name_H-M 'P 1'
_symmetry_Int_Tables_number 1
_cell_length_a 3.4012
_cell_length_b 3.4012
_cell_length_c 7.7812
_cell_angle_alpha 90.00
_cell_angle_beta 90.00
_cell_angle_gamma 90.00
loop_
_symmetry_equiv_pos_as_xyz
'x,y,z'
loop_
_atom_site_label
_atom_site_type_symbol
_atom_site_fract_x
_atom_site_fract_y
_atom_site_fract_z
Sn1 Sn 0.0000 0.0000 0.1966
Sn2 Sn 0.0000 0.0000 0.8034
Tc1 Tc 0.5000 0.5000 0.0000
Eu1 Eu 0.5000 0.5000 0.5000
# total magnetic moment	7.12	μB/f.u.
# formation energy from the elements	-230.1	meV per atom
# space group	P4/mmm

# Zr2CrCl (PBE, optimized geometry)
data_Zr2CrCl
_chemical_formula_sum 'Zr2 Cr1 Cl1'
_symmetry_space_group_name_H-M 'P 1'
_symmetry_Int_Tables_number 1
_cell_length_a 3.1539
_cell_length_b 3.1539
_cell_length_c 8.9009
_cell_angle_alpha 90.00
_cell_angle_beta 90.00
_cell_angle_gamma 106.81
loop_
_symmetry_equiv_pos_as_xyz
'x,y,z'
loop_
_atom_site_label
_atom_site_type_symbol
_atom_site_fract_x
_atom_site_fract_y
_atom_site_fract_z
Zr1 Zr 0.5000 0.5000 0.2641
Zr2 Zr 0.0000 0.0000 0.9947
Cl1 Cl 0.0000 0.0000 0.4824
Cr1 Cr 0.5000 0.5000 0.7587
# ΔE to the lowest computed polymorph	358	meV per atom
# total magnetic moment	3.85	μB/f.u.
# formation energy without anion corrections	-0.0433	eV per atom
# space group	Cmm2

# MgSbCl2 (PBE, optimized geometry)
data_MgSbCl2
_chemical_formula_sum 'Mg1 Sb1 Cl2'
_symmetry_space_group_name_H-M 'P 1'
_symmetry_Int_Tables_number 1
_cell_length_a 3.4098
_cell_length_b 3.4098
_cell_length_c 8.3562
_cell_angle_alpha 90.00
_cell_angle_beta 90.00
_cell_angle_gamma 90.00
loop_
_symmetry_equiv_pos_as_xyz
'x,y,z'
loop_
_atom_site_label
_atom_site_type_symbol
_atom_site_fract_x
_atom_site_fract_y
_atom_site_fract_z
Mg1 Mg 0.0000 0.0000 0.4777
Cl1 Cl 0.5000 0.5000 0.3294
Cl2 Cl 0.0000 0.0000 0.9540
Sb1 Sb 0.5000 0.5000 0.7389
# ΔE to the lowest computed polymorph	470	meV per atom
# total magnetic moment	0.00	μB/f.u.
# formation energy without anion corrections	-0.6533	eV per atom
# space group	P4mm

# Tm2Hg2Au (PBE, optimized geometry)
data_Tm2Hg2Au
_chemical_formula_sum 'Tm4 Hg4 Au2'
_symmetry_space_group_name_H-M 'P 1'
_symmetry_Int_Tables_number 1
_cell_length_a 5.9715
_cell_length_b 6.5857
_cell_length_c 7.7947
_cell_angle_alpha 114.99
_cell_angle_beta 112.52
_cell_angle_gamma 90.00
loop_
_symmetry_equiv_pos_as_xyz
'x,y,z'
loop_
_atom_site_label
_atom_site_type_symbol
_atom_site_fract_x
_atom_site_fract_y
_atom_site_fract_z
Hg1 Hg 0.1034 0.2541 0.2068
Hg2 Hg 0.3966 0.0473 0.7932
Hg3 Hg 0.6034 0.9527 0.2068
Hg4 Hg 0.8966 0.7459 0.7932
Tm1 Tm 0.3388 0.5503 0.6776
Tm2 Tm 0.6612 0.4497 0.3224
Tm3 Tm 0.1612 0.8727 0.3224
Tm4 Tm 0.8388 0.1273 0.6776
Au1 Au 0.2500 0.5000 0.0000
Au2 Au 0.7500 0.5000 0.0000
# ΔE to the lowest computed polymorph	99	meV per atom
# total magnetic moment	0.00	μB/f.u.
# formation energy from the elements	-400.4	meV per atom
# space group	Ibam

# AlCu2Ni (PBE, optimized geometry)
data_AlCu2Ni
_chemical_formula_sum 'Al3 Cu6 Ni3'
_symmetry_space_group_name_H-M 'P 1'
_symmetry_Int_Tables_number 1
_cell_length_a 8.5581
_cell_length_b 8.5575
_cell_length_c 8.5581
_cell_angle_alpha 31.99
_cell_angle_beta 31.99
_cell_angle_gamma 31.99
loop_
_symmetry_equiv_pos_as_xyz
'x,y,z'
loop_
_atom_site_label
_atom_site_type_symbol
_atom_site_fract_x
_atom_site_fract_y
_atom_site_fract_z
Cu1 Cu 0.9174 0.4136 0.4138
Cu2 Cu 0.5862 0.0827 0.5862
Cu3 Cu 0.0826 0.5864 0.5862
Cu4 Cu 0.4138 0.9173 0.4138
Cu5 Cu 0.4138 0.4136 0.9174
Cu6 Cu 0.5862 0.5864 0.0826
Ni1 Ni 0.6667 0.6666 0.6667
Ni2 Ni 0.3333 0.3334 0.3333
Ni3 Ni 0.5000 0.5000 0.5000
Al1 Al 0.0000 0.0000 0.0000
Al2 Al 0.1504 0.1504 0.1504
Al3 Al 0.8496 0.8496 0.8496
# total magnetic moment	0.00	μB/f.u.
# formation energy from the elements	-52.8	meV per atom
# space group	R-3m

# KTi2F11 (PBE, optimized geometry)
data_KTi2F11
_chemical_formula_sum 'K2 Ti4 F22'
_symmetry_space_group_name_H-M 'P 1'
_symmetry_Int_Tables_number 1
_cell_length_a 8.6506
_cell_length_b 8.7462
_cell_length_c 8.7462
_cell_angle_alpha 75.08
_cell_angle_beta 60.36
_cell_angle_gamma 60.36
loop_
_symmetry_equiv_pos_as_xyz
'x,y,z'
loop_
_atom_site_label
_atom_site_type_symbol
_atom_site_fract_x
_atom_site_fract_y
_atom_site_fract_z
Ti1 Ti 0.3827 0.3177 0.6823
Ti2 Ti 0.6173 0.6823 0.3177
Ti3 Ti 0.8827 0.1823 0.8177
Ti4 Ti 0.1173 0.8177 0.1823
F1 F 0.6267 0.7178 0.5135
F2 F 0.5015 0.0752 0.6913
F3 F 0.7319 0.6913 0.0752
F4 F 0.9985 0.8087 0.4248
F5 F 0.4006 0.6798 0.3202
F6 F 0.4985 0.9248 0.3087
F7 F 0.8580 0.4865 0.2822
F8 F 0.1420 0.5135 0.7178
F9 F 0.0015 0.1913 0.5752
F10 F 0.2681 0.3087 0.9248
F11 F 0.2319 0.5752 0.1913
F12 F 0.3580 0.7822 0.9865
F13 F 0.3733 0.2822 0.4865
F14 F 0.6420 0.2178 0.0135
F15 F 0.7681 0.4248 0.8087
F16 F 0.5000 0.5000 0.5000
F17 F 0.9006 0.8202 0.1798
F18 F 0.8733 0.9865 0.7822
F19 F 0.1267 0.0135 0.2178
F20 F 0.5994 0.3202 0.6798
F21 F 0.0000 0.0000 0.0000
F22 F 0.0994 0.1798 0.8202
K1 K 0.7500 0.7500 0.7500
K2 K 0.2500 0.2500 0.2500
# total magnetic moment	2.01	μB/f.u.
# formation energy without anion corrections	-2.7375	eV per atom
# space group	Ibam